Record 1
BaCd3Rh: optimized geometry, PBE.

Energy of formation from the pure elements in eV per atom: 0.02
Polymorph energy (0 for the lowest one) in eV/atom: 0.282

Structure (POSCAR):
```
BaCd3Rh
1.0
-2.589 0.397 -3.391
-0.382 -4.263 -0.208
-7.076 0.369 5.446
Ba Cd Rh
1 3 1
direct
0.000 0.000 0.370
0.500 0.000 0.708
0.000 0.500 0.708
0.000 0.000 0.962
0.500 0.500 0.514
```

Record 2
Ba4Cd2Rh: optimized geometry, PBE.

Energy of formation from the pure elements in eV per atom: -0.15
Polymorph energy (0 for the lowest one) in eV/atom: 0.067

Structure (POSCAR):
```
Ba4Cd2Rh
1.0
5.920 0.000 0.000
0.000 5.920 0.000
-2.960 -2.960 9.026
Ba Cd Rh
4 2 1
direct
0.174 0.174 0.348
0.500 0.000 0.000
0.000 0.500 0.000
0.826 0.826 0.652
0.626 0.626 0.252
0.374 0.374 0.748
0.000 0.000 0.000
```

Record 3
BaCd3Rh: optimized geometry, PBE.

Energy of formation from the pure elements in eV per atom: -0.22
Polymorph energy (0 for the lowest one) in eV/atom: 0.039

Structure (POSCAR):
```
BaCd3Rh
1.0
-4.658 4.740 0.534
-4.529 -4.759 -2.563
-2.833 -0.396 5.530
Cd Rh Ba
6 2 2
direct
0.867 0.614 0.194
0.483 0.334 0.394
0.362 0.620 0.763
0.829 0.051 0.279
0.263 0.263 0.035
0.791 0.804 0.720
0.093 0.913 0.898
0.484 0.026 0.678
0.339 0.833 0.276
0.865 0.305 0.745
```

Record 4
BaCd3Rh: optimized geometry, PBE.

Energy of formation from the pure elements in eV per atom: 0.23
Polymorph energy (0 for the lowest one) in eV/atom: 0.488

Structure (POSCAR):
```
BaCd3Rh
1.0
3.953 -2.282 0.000
0.000 4.564 0.000
0.000 0.000 20.071
Ba Cd Rh
2 6 2
direct
0.000 0.000 0.000
0.000 0.000 0.500
0.000 0.000 0.750
0.000 0.000 0.250
0.667 0.333 0.121
0.667 0.333 0.379
0.333 0.667 0.879
0.333 0.667 0.621
0.333 0.667 0.750
0.667 0.333 0.250
```

Record 5
BaCd3Rh: optimized geometry, PBE.

Energy of formation from the pure elements in eV per atom: -0.22
Polymorph energy (0 for the lowest one) in eV/atom: 0.041

Structure (POSCAR):
```
BaCd3Rh
1.0
6.727 0.000 -1.404
0.000 6.549 0.000
-2.102 0.000 6.486
Rh Cd Ba
2 6 2
direct
0.275 0.750 0.638
0.725 0.250 0.362
0.728 0.750 0.864
0.000 0.000 0.723
0.272 0.250 0.136
0.000 0.500 0.723
0.000 0.500 0.277
0.000 0.000 0.277
0.514 0.250 0.757
0.486 0.750 0.243
```

Record 6
BaCd3Rh: optimized geometry, PBE.

Energy of formation from the pure elements in eV per atom: -0.24
Polymorph energy (0 for the lowest one) in eV/atom: 0.021

Structure (POSCAR):
```
BaCd3Rh
1.0
-4.613 0.239 -3.206
-1.383 -4.121 5.821
-2.564 5.847 3.694
Cd Rh Ba
6 2 2
direct
0.649 0.344 0.972
0.745 0.601 0.628
0.008 0.982 0.461
0.482 0.909 0.678
0.219 0.528 0.844
0.578 0.166 0.333
0.868 0.264 0.644
0.359 0.246 0.662
0.001 0.987 0.968
0.226 0.523 0.338
```

Record 7
BaCd3Rh: optimized geometry, PBE.

Energy of formation from the pure elements in eV per atom: -0.04
Polymorph energy (0 for the lowest one) in eV/atom: 0.221

Structure (POSCAR):
```
BaCd3Rh
1.0
-0.086 0.674 -3.297
6.586 2.891 0.418
-2.299 -6.701 -1.309
Cd Ba Rh
3 1 1
direct
0.500 0.012 0.477
0.000 0.427 0.573
0.500 0.523 0.988
0.500 0.032 0.968
0.000 0.634 0.366
```

Record 8
Ba3Cd9Rh2: optimized geometry, PBE.

Energy of formation from the pure elements in eV per atom: -0.24

Structure (POSCAR):
```
Ba3Cd9Rh2
1.0
-4.753 1.259 0.299
-4.609 -6.833 -3.928
-3.420 -4.913 6.893
Cd Rh Ba
9 2 3
direct
0.115 0.169 0.601
0.885 0.831 0.399
0.115 0.601 0.169
0.885 0.399 0.831
0.000 0.500 0.500
0.650 0.002 0.697
0.650 0.697 0.002
0.350 0.998 0.303
0.350 0.303 0.998
0.500 0.662 0.338
0.500 0.338 0.662
0.303 0.697 0.697
0.000 0.000 0.000
0.697 0.303 0.303
```

Record 9
Ba6Cd5Rh: optimized geometry, PBE.

Energy of formation from the pure elements in eV per atom: -0.25

Structure (POSCAR):
```
Ba6Cd5Rh
1.0
5.801 -0.400 0.974
0.006 7.727 3.146
1.332 0.387 10.100
Ba Cd Rh
6 5 1
direct
0.501 0.228 0.000
0.845 0.081 0.310
0.155 0.919 0.690
0.845 0.609 0.310
0.499 0.772 0.000
0.155 0.391 0.690
0.332 0.332 0.335
0.668 0.668 0.665
0.000 0.500 0.000
0.685 0.184 0.631
0.315 0.816 0.369
0.000 0.000 0.000
```

Record 10
BaCd2Rh: optimized geometry, PBE.

Energy of formation from the pure elements in eV per atom: 0.00

Structure (POSCAR):
```
BaCd2Rh
1.0
2.933 4.319 2.576
-1.410 5.269 -2.035
-3.061 -4.553 1.945
Cd Ba Rh
2 1 1
direct
0.750 0.250 0.500
0.250 0.750 0.500
0.000 0.000 0.000
0.500 0.500 0.000
```

Record 11
BaCdRh2: optimized geometry, PBE.

Energy of formation from the pure elements in eV per atom: 0.12

Structure (POSCAR):
```
BaCdRh2
1.0
-5.640 0.639 -1.100
-5.353 -2.163 0.314
-2.383 1.911 4.268
Rh Ba Cd
2 1 1
direct
0.027 0.027 0.034
0.714 0.714 0.728
0.484 0.484 0.554
0.275 0.275 0.184
```

Record 12
Ba8CdRh2: optimized geometry, PBE.

Energy of formation from the pure elements in eV per atom: -0.12

Structure (POSCAR):
```
Ba8CdRh2
1.0
6.511 -0.334 -0.006
-0.419 7.058 -6.037
0.012 0.009 12.066
Ba Rh Cd
8 2 1
direct
0.313 0.658 0.829
0.761 0.762 0.130
0.761 0.762 0.632
0.239 0.238 0.870
0.687 0.342 0.171
0.244 0.783 0.391
0.239 0.238 0.368
0.756 0.217 0.609
0.257 0.241 0.621
0.743 0.759 0.379
0.000 0.000 0.000
```

Record 13
BaCdRh2: optimized geometry, PBE.

Energy of formation from the pure elements in eV per atom: 0.10

Structure (POSCAR):
```
BaCdRh2
1.0
3.515 0.000 0.000
0.000 3.515 0.000
0.000 0.000 6.960
Rh Ba Cd
2 1 1
direct
0.000 0.000 0.300
0.000 0.000 0.700
0.500 0.500 0.000
0.500 0.500 0.500
```

Record 14
BaCd3Rh: optimized geometry, PBE.

Energy of formation from the pure elements in eV per atom: -0.23
Polymorph energy (0 for the lowest one) in eV/atom: 0.029

Structure (POSCAR):
```
BaCd3Rh
1.0
5.984 0.042 -0.059
1.671 6.861 -0.044
-1.669 2.068 6.544
Rh Cd Ba
2 6 2
direct
0.855 0.259 0.649
0.371 0.251 0.657
0.739 0.220 0.007
0.488 0.609 0.618
0.488 0.289 0.299
0.739 0.901 0.688
0.113 0.041 0.439
0.113 0.469 0.867
0.293 0.922 0.986
0.934 0.588 0.320
```

Record 15
BaCd3Rh: optimized geometry, PBE.

Energy of formation from the pure elements in eV per atom: 0.20
Polymorph energy (0 for the lowest one) in eV/atom: 0.465

Structure (POSCAR):
```
BaCd3Rh
1.0
-1.485 3.337 3.656
-0.440 -3.890 3.373
11.303 1.360 7.003
Rh Cd Ba
2 6 2
direct
0.702 0.202 0.596
0.798 0.298 0.404
0.127 0.881 0.746
0.627 0.873 0.254
0.119 0.873 0.254
0.341 0.341 0.319
0.659 0.659 0.681
0.127 0.373 0.746
0.000 0.000 0.000
0.250 0.750 0.500
```

Record 16
Ba2CdRh: optimized geometry, PBE.

Energy of formation from the pure elements in eV per atom: -0.25

Structure (POSCAR):
```
Ba2CdRh
1.0
4.610 0.000 0.000
0.000 6.406 -2.434
0.000 -0.060 9.421
Ba Rh Cd
4 2 2
direct
0.750 0.217 0.448
0.250 0.783 0.552
0.750 0.230 0.911
0.250 0.770 0.089
0.250 0.390 0.722
0.750 0.610 0.278
0.250 0.358 0.217
0.750 0.642 0.783
```

Record 17
Ba2Cd6Rh3: optimized geometry, PBE.

Energy of formation from the pure elements in eV per atom: -0.15

Structure (POSCAR):
```
Ba2Cd6Rh3
1.0
4.523 0.000 0.000
0.000 8.434 0.000
0.000 -4.217 7.304
Cd Rh Ba
6 3 2
direct
0.500 0.291 0.000
0.500 0.709 0.709
0.000 0.201 0.201
0.000 0.799 0.000
0.500 0.000 0.291
0.000 0.000 0.799
0.500 0.377 0.377
0.500 0.000 0.623
0.500 0.623 0.000
0.000 0.333 0.667
0.000 0.667 0.333
```

Record 18
BaCd2Rh: optimized geometry, PBE.

Energy of formation from the pure elements in eV per atom: -0.11

Structure (POSCAR):
```
BaCd2Rh
1.0
-1.682 2.692 5.721
1.682 -2.692 5.721
1.682 2.692 -5.721
Cd Ba Rh
2 1 1
direct
0.802 0.802 0.000
0.198 0.198 0.000
0.500 0.000 0.500
0.000 0.500 0.500
```

Record 19
Ba4Cd3Rh2: optimized geometry, PBE.

Energy of formation from the pure elements in eV per atom: -0.25

Structure (POSCAR):
```
Ba4Cd3Rh2
1.0
4.286 0.000 -1.182
-0.736 7.723 -2.671
0.214 -0.285 9.138
Rh Cd Ba
2 3 4
direct
0.407 0.545 0.815
0.593 0.455 0.185
0.098 0.243 0.197
0.902 0.757 0.803
0.000 0.500 0.000
0.775 0.317 0.550
0.430 0.138 0.861
0.225 0.683 0.450
0.570 0.862 0.139
```

Record 20
Ba2CdRh: optimized geometry, PBE.

Energy of formation from the pure elements in eV per atom: -0.04

Structure (POSCAR):
```
Ba2CdRh
1.0
3.854 0.000 0.000
0.000 3.854 0.000
0.000 0.000 9.322
Ba Cd Rh
2 1 1
direct
0.000 0.000 0.915
0.500 0.500 0.339
0.000 0.000 0.576
0.500 0.500 0.670
```

Record 21
Ba6Cd3Rh: optimized geometry, PBE.

Energy of formation from the pure elements in eV per atom: -0.20

Structure (POSCAR):
```
Ba6Cd3Rh
1.0
8.139 0.000 -0.825
0.000 9.311 0.000
0.389 0.000 12.093
Cd Rh Ba
6 2 12
direct
0.058 0.614 0.746
0.558 0.886 0.246
0.000 0.000 0.500
0.500 0.500 0.000
0.942 0.386 0.254
0.442 0.114 0.754
0.000 0.000 0.000
0.500 0.500 0.500
0.686 0.161 0.057
0.143 0.297 0.933
0.853 0.957 0.764
0.357 0.797 0.567
0.857 0.703 0.067
0.186 0.339 0.557
0.647 0.457 0.736
0.353 0.543 0.264
0.147 0.043 0.236
0.643 0.203 0.433
0.814 0.661 0.443
0.314 0.839 0.943
```

Record 22
BaCd2SbRh: optimized geometry, PBE.

Energy relative to the elements, uncorrected in kJ/mol of formula units: -186

Structure (POSCAR):
```
BaCd2SbRh
1.0
5.251 0.000 0.000
0.000 5.251 0.000
0.000 0.000 5.169
Sb Cd Ba Rh
1 2 1 1
direct
0.000 0.000 0.500
0.000 0.500 0.000
0.500 0.000 0.000
0.500 0.500 0.500
0.000 0.000 0.000
```

Record 23
BaCdSi2Rh: optimized geometry, PBE.

Energy relative to the elements, uncorrected in kJ/mol of formula units: 8

Structure (POSCAR):
```
BaCdSi2Rh
1.0
4.719 0.000 0.000
0.000 6.025 0.000
0.000 0.000 4.719
Cd Ba Si Rh
1 1 2 1
direct
0.500 0.500 0.500
0.000 0.500 0.000
0.500 0.000 0.000
0.000 0.000 0.500
0.000 0.000 0.000
```

Record 24
BaCd2SiRh: optimized geometry, PBE.

Energy relative to the elements, uncorrected in kJ/mol of formula units: 807

Structure (POSCAR):
```
BaCd2SiRh
1.0
-0.691 -5.845 -2.277
4.746 0.688 -3.206
3.520 -2.257 4.727
Rh Cd Si Ba
1 2 1 1
direct
0.500 0.500 0.500
0.500 0.000 0.000
0.000 0.000 0.500
0.000 0.500 0.000
0.000 0.000 0.000
```

Summary of DOS(E_F) in states/eV per atom
0.902; 1.390; 0.458; 0.558; 0.596; 0.592; 0.786; 0.611; 0.980; 0.580; 0.720; 0.927; 0.763; 0.399; 0.550; 0.557; 0.726; 0.389; 0.765; 1.079; 0.809; 0.668; 1.143; 1.109
(order as listed above)